## 1
An optimized crystal structure of SmTm6Mg, computed with PBE-GGA.

## Properties
D(E_F) ... 11.70 states/eV/f.u.
Symmetry ... P4/mmm, No. 123

Geometry as POSCAR:
```
SmTm6Mg
1.0
-4.620 -1.481 1.163
2.218 -2.047 6.207
-1.365 6.264 2.556
Mg Tm Sm
1 6 1
Direct
0.500 0.000 0.000
0.000 0.748 0.748
0.000 0.252 0.252
0.500 0.000 0.500
0.000 0.252 0.748
0.500 0.500 0.000
0.000 0.748 0.252
0.500 0.500 0.500
```

## 2
An optimized crystal structure of SmTm6Mg, computed with PBE-GGA.

## Properties
D(E_F) ... 11.85 states/eV/f.u.
Symmetry ... R-3, No. 148

Geometry as POSCAR:
```
SmTm6Mg
1.0
8.428 0.508 -0.256
4.614 8.032 0.021
4.168 2.945 3.643
Tm Mg Sm
6 1 1
Direct
0.472 0.758 0.725
0.954 0.528 0.760
0.046 0.472 0.240
0.528 0.242 0.275
0.242 0.045 0.184
0.758 0.955 0.816
0.000 0.000 0.000
0.500 0.500 0.500
```

1 is preferred energetically. Next in line: 102 meV/atom higher.

## 1
An optimized crystal structure of SmTmMg3, computed with PBE-GGA.

## Properties
D(E_F) ... 4.98 states/eV/f.u.
Symmetry ... C2/c, No. 15

Geometry as POSCAR:
```
SmTmMg3
1.0
-2.166 -1.532 2.308
7.723 -6.975 8.002
1.029 7.049 11.027
Mg Tm Sm
12 4 4
Direct
0.475 0.213 0.061
0.100 0.498 0.656
0.962 0.382 0.907
0.525 0.787 0.939
0.400 0.344 0.502
0.038 0.618 0.093
0.900 0.502 0.344
0.025 0.939 0.787
0.975 0.061 0.213
0.538 0.093 0.618
0.600 0.656 0.498
0.462 0.907 0.382
0.250 0.728 0.272
0.250 0.089 0.911
0.750 0.911 0.089
0.750 0.272 0.728
0.186 0.181 0.379
0.686 0.379 0.181
0.814 0.819 0.621
0.314 0.621 0.819
```

## 2
An optimized crystal structure of SmTmMg3, computed with PBE-GGA.

## Properties
D(E_F) ... 5.75 states/eV/f.u.
Symmetry ... R-3m, No. 166

Geometry as POSCAR:
```
SmTmMg3
1.0
-2.775 6.957 4.835
-6.068 1.850 6.264
-0.297 2.577 8.530
Mg Tm Sm
6 2 2
Direct
0.878 0.390 0.879
0.610 0.121 0.122
0.122 0.610 0.121
0.121 0.122 0.610
0.879 0.878 0.390
0.390 0.879 0.878
0.835 0.835 0.835
0.165 0.165 0.165
0.568 0.568 0.568
0.432 0.432 0.432
```

2 is preferred energetically. Next in line: 12 meV/atom higher.

## 1
An optimized crystal structure of SmTm2Mg4, computed with PBE-GGA.

## Properties
D(E_F) ... 6.68 states/eV/f.u.
Symmetry ... I4/mmm, No. 139

Geometry as POSCAR:
```
SmTm2Mg4
1.0
5.109 0.000 -1.629
-0.519 5.082 -1.629
-0.213 -0.235 8.161
Tm Mg Sm
2 4 1
Direct
0.249 0.249 0.499
0.751 0.751 0.501
0.620 0.120 0.239
0.880 0.380 0.761
0.380 0.880 0.761
0.120 0.620 0.239
0.000 0.000 0.000
```

## 2
An optimized crystal structure of SmTm2Mg4, computed with PBE-GGA.

## Properties
D(E_F) ... 5.32 states/eV/f.u.
Symmetry ... Cmmm, No. 65

Geometry as POSCAR:
```
SmTm2Mg4
1.0
-2.892 3.872 -2.520
-3.770 0.184 4.609
5.518 4.437 0.486
Mg Sm Tm
4 1 2
Direct
0.500 0.624 0.248
0.000 0.249 0.499
0.000 0.751 0.501
0.500 0.376 0.752
0.000 0.500 0.000
0.500 0.871 0.741
0.500 0.129 0.259
```

1 is preferred energetically. Next in line: 232 meV/atom higher.

## 1
An optimized crystal structure of Sm7Tm2Mg2, computed with PBE-GGA.

## Properties
D(E_F) ... 16.25 states/eV/f.u.
Symmetry ... C2/m, No. 12

Geometry as POSCAR:
```
Sm7Tm2Mg2
1.0
6.563 -0.559 -1.254
-1.787 7.171 -2.128
-0.480 0.561 7.655
Sm Mg Tm
7 2 2
Direct
0.000 0.000 0.000
0.203 0.423 0.931
0.479 0.667 0.667
0.797 0.069 0.577
0.797 0.577 0.069
0.521 0.333 0.333
0.203 0.931 0.423
0.025 0.343 0.343
0.975 0.657 0.657
0.500 0.135 0.865
0.500 0.865 0.135
```

## 2
An optimized crystal structure of Sm7Tm2Mg2, computed with PBE-GGA.

## Properties
D(E_F) ... 16.17 states/eV/f.u.
Symmetry ... C2/m, No. 12

Geometry as POSCAR:
```
Sm7Tm2Mg2
1.0
0.583 -8.237 1.934
6.369 -0.528 1.515
-1.965 -0.003 6.267
Sm Mg Tm
7 2 2
Direct
0.184 0.112 0.474
0.816 0.526 0.888
0.581 0.145 0.145
0.816 0.888 0.526
0.184 0.474 0.112
0.419 0.855 0.855
0.000 0.000 0.000
0.836 0.386 0.386
0.164 0.614 0.614
0.500 0.323 0.677
0.500 0.677 0.323
```

2 is preferred energetically. Next in line: 116 meV/atom higher.

## 1
An optimized crystal structure of Sm2Tm2Mg, computed with PBE-GGA.

## Properties
D(E_F) ... 8.06 states/eV/f.u.
Symmetry ... Cmcm, No. 63

Geometry as POSCAR:
```
Sm2Tm2Mg
1.0
-4.631 2.794 2.875
-3.637 -2.864 -3.075
2.221 -7.886 4.716
Sm Tm Mg
4 4 2
Direct
0.414 0.250 0.193
0.779 0.750 0.193
0.586 0.750 0.807
0.221 0.250 0.807
0.960 0.750 0.591
0.631 0.250 0.591
0.040 0.250 0.409
0.369 0.750 0.409
0.169 0.750 0.000
0.831 0.250 0.000
```

## 2
An optimized crystal structure of Sm2Tm2Mg, computed with PBE-GGA.

## Properties
D(E_F) ... 6.39 states/eV/f.u.
Symmetry ... I4/mmm, No. 139

Geometry as POSCAR:
```
Sm2Tm2Mg
1.0
-0.669 -0.957 4.192
4.299 -0.202 0.640
-1.707 9.128 -0.448
Tm Sm Mg
2 2 1
Direct
0.250 0.750 0.500
0.750 0.250 0.500
0.407 0.407 0.813
0.593 0.593 0.187
0.000 0.000 0.000
```

1 is preferred energetically. Next in line: 356 meV/atom higher.

## 1
An optimized crystal structure of Sm8Tm2Mg, computed with PBE-GGA.

## Properties
D(E_F) ... 16.91 states/eV/f.u.
Symmetry ... Cm, No. 8

Geometry as POSCAR:
```
Sm8Tm2Mg
1.0
-2.369 -3.470 -3.467
-4.594 -4.802 7.923
-7.449 1.649 3.428
Sm Tm Mg
8 2 1
Direct
0.000 0.744 0.506
0.499 0.299 0.724
0.000 0.250 0.494
0.000 0.333 0.000
0.499 0.023 0.276
0.501 0.695 0.276
0.000 0.660 0.000
0.501 0.971 0.724
0.500 0.376 0.241
0.500 0.617 0.759
0.000 0.996 0.000
```

## 2
An optimized crystal structure of Sm8Tm2Mg, computed with PBE-GGA.

## Properties
D(E_F) ... 13.72 states/eV/f.u.
Symmetry ... C2/m, No. 12

Geometry as POSCAR:
```
Sm8Tm2Mg
1.0
5.930 0.456 0.379
0.849 8.154 -0.595
0.849 0.905 8.126
Sm Tm Mg
8 2 1
Direct
0.906 0.271 0.271
0.214 0.342 0.864
0.786 0.136 0.658
0.094 0.729 0.729
0.786 0.658 0.136
0.214 0.864 0.342
0.709 0.580 0.580
0.291 0.420 0.420
0.493 0.867 0.867
0.507 0.133 0.133
0.000 0.000 0.000
```

1 is preferred energetically. Next in line: 240 meV/atom higher.

## 1
An optimized crystal structure of SmTmMg4, computed with PBE-GGA.

## Properties
D(E_F) ... 6.78 states/eV/f.u.
Symmetry ... F-43m, No. 216

Geometry as POSCAR:
```
SmTmMg4
1.0
-3.336 -4.307 2.612
1.716 -2.359 5.291
-3.135 1.232 5.016
Sm Mg Tm
1 4 1
Direct
0.250 0.250 0.250
0.625 0.125 0.625
0.125 0.625 0.625
0.625 0.625 0.625
0.625 0.625 0.125
0.000 0.000 0.000
```

## 2
An optimized crystal structure of SmTmMg4, computed with PBE-GGA.

## Properties
D(E_F) ... 6.73 states/eV/f.u.
Symmetry ... C2/m, No. 12

Geometry as POSCAR:
```
SmTmMg4
1.0
-3.343 0.630 -0.412
-2.914 -2.128 6.131
0.103 8.234 -2.491
Sm Tm Mg
1 1 4
Direct
0.000 0.000 0.000
0.500 0.500 0.500
0.842 0.481 0.834
0.667 0.007 0.659
0.333 0.993 0.341
0.158 0.519 0.166
```

1 is preferred energetically. Next in line: 27 meV/atom higher.

## 1
An optimized crystal structure of Sm2TmMg4, computed with PBE-GGA.

## Properties
D(E_F) ... 6.14 states/eV/f.u.
Symmetry ... I4/mmm, No. 139

Geometry as POSCAR:
```
Sm2TmMg4
1.0
-4.735 1.034 2.403
-1.953 -4.703 -1.825
5.677 -1.469 5.730
Sm Tm Mg
2 1 4
Direct
0.749 0.749 0.497
0.251 0.251 0.503
0.000 0.000 0.000
0.887 0.387 0.773
0.113 0.613 0.227
0.387 0.887 0.773
0.613 0.113 0.227
```

## 2
An optimized crystal structure of Sm2TmMg4, computed with PBE-GGA.

## Properties
D(E_F) ... 8.72 states/eV/f.u.
Symmetry ... I4/mmm, No. 139

Geometry as POSCAR:
```
Sm2TmMg4
1.0
5.547 0.000 0.000
0.000 5.547 0.000
-2.774 -2.774 8.094
Mg Tm Sm
4 1 2
Direct
0.000 0.500 0.000
0.500 0.000 0.000
0.186 0.186 0.373
0.814 0.814 0.627
0.000 0.000 0.000
0.606 0.606 0.212
0.394 0.394 0.788
```

1 is preferred energetically. Next in line: 427 meV/atom higher.

## 1
An optimized crystal structure of Sm5Tm2Mg, computed with PBE-GGA.

## Properties
D(E_F) ... 12.05 states/eV/f.u.
Symmetry ... Cmcm, No. 63

Geometry as POSCAR:
```
Sm5Tm2Mg
1.0
-4.001 3.307 -0.248
-0.144 -4.574 -4.223
-8.998 -10.047 11.189
Tm Sm Mg
4 10 2
Direct
0.246 0.492 0.653
0.754 0.508 0.153
0.754 0.508 0.347
0.246 0.492 0.847
0.949 0.898 0.907
0.353 0.705 0.038
0.353 0.705 0.462
0.949 0.898 0.593
0.467 0.934 0.250
0.647 0.295 0.538
0.533 0.066 0.750
0.051 0.102 0.407
0.051 0.102 0.093
0.647 0.295 0.962
0.819 0.639 0.750
0.181 0.361 0.250
```

## 2
An optimized crystal structure of Sm5Tm2Mg, computed with PBE-GGA.

## Properties
D(E_F) ... 9.86 states/eV/f.u.
Symmetry ... Pmmn, No. 59

Geometry as POSCAR:
```
Sm5Tm2Mg
1.0
-2.664 4.310 3.466
-1.146 -2.520 2.254
19.369 2.131 12.233
Sm Mg Tm
10 2 4
Direct
0.917 0.250 0.371
0.572 0.250 0.250
0.416 0.750 0.121
0.083 0.750 0.629
0.584 0.250 0.879
0.917 0.250 0.129
0.416 0.750 0.379
0.083 0.750 0.871
0.428 0.750 0.750
0.584 0.250 0.621
0.919 0.250 0.750
0.081 0.750 0.250
0.248 0.250 0.502
0.752 0.750 0.498
0.752 0.750 0.002
0.248 0.250 0.998
```

2 is preferred energetically. Next in line: 66 meV/atom higher.

## 1
An optimized crystal structure of Sm2MgV, computed with PBE-GGA.

## Properties
D(E_F) ... 3.07 states/eV/f.u.
Symmetry ... P4/mmm, No. 123

Geometry as POSCAR:
```
Sm2MgV
1.0
3.676 0.000 0.000
0.000 3.676 0.000
0.000 0.000 7.904
Mg Sm V
1 2 1
Direct
0.500 0.500 0.500
0.000 0.000 0.223
0.000 0.000 0.777
0.500 0.500 0.000
```

## 2
An optimized crystal structure of Sm2MgV, computed with PBE-GGA.

## Properties
D(E_F) ... 7.03 states/eV/f.u.
Symmetry ... R-3m, No. 166

Geometry as POSCAR:
```
Sm2MgV
1.0
3.272 0.000 0.000
1.636 2.833 0.000
1.636 0.944 11.571
V Mg Sm
1 1 2
Direct
0.000 0.000 0.000
0.500 0.500 0.500
0.082 0.082 0.755
0.918 0.918 0.245
```

1 is preferred energetically. Next in line: 457 meV/atom higher.

## 1
An optimized crystal structure of SmY4Mg, computed with PBE-GGA.

## Properties
D(E_F) ... 9.33 states/eV/f.u.
Symmetry ... C2/c, No. 15

Geometry as POSCAR:
```
SmY4Mg
1.0
6.084 0.501 0.542
2.531 5.556 0.542
1.847 1.298 11.694
Sm Y Mg
2 8 2
Direct
0.500 0.000 0.500
0.000 0.500 0.000
0.413 0.253 0.751
0.253 0.413 0.251
0.835 0.328 0.499
0.587 0.747 0.249
0.672 0.165 0.001
0.328 0.835 0.999
0.165 0.672 0.501
0.747 0.587 0.749
0.921 0.079 0.250
0.079 0.921 0.750
```

## 2
An optimized crystal structure of SmY4Mg, computed with PBE-GGA.

## Properties
D(E_F) ... 9.47 states/eV/f.u.
Symmetry ... P4/mmm, No. 123

Geometry as POSCAR:
```
SmY4Mg
1.0
-0.996 -0.832 3.383
2.866 -2.196 0.304
7.777 10.835 4.956
Y Mg Sm
4 1 1
Direct
0.000 0.000 0.648
0.500 0.500 0.177
0.500 0.500 0.823
0.000 0.000 0.352
0.500 0.500 0.500
0.000 0.000 0.000
```

2 is preferred energetically. Next in line: 44 meV/atom higher.